Density functional theory data (PBE) for crystalline SiGePt at its relaxed geometry.

abc: 6.125 6.196 6.203
angles: 113.37 90.00 90.00
Atoms (fractional coordinates):
Si  0.631  0.657  0.815
Si  0.369  0.343  0.185
Pt  0.508  0.720  0.204
Ge  0.380  0.852  0.637
Ge  0.880  0.148  0.863
Pt  0.992  0.720  0.704
Si  0.131  0.343  0.685
Ge  0.120  0.852  0.137
Pt  0.008  0.280  0.296
Pt  0.492  0.280  0.796
Ge  0.620  0.148  0.363
Si  0.869  0.657  0.315

## Properties
N(E_F) = 1.29 states/eV/f.u.
ΔE to the lowest computed polymorph = 0.00 eV per formula unit
electronic total energy = -5.750 eV/atom
formation energy (no corrections) = -390 meV per atom